No. 1
KZnSb2: relaxed, PBE.

Properties
Final energy (eV per cell): -10.888
ΔE_f (raw) (kJ/mol of atoms): -6.56

```
KZnSb2
1.0
3.891 0.000 0.000
0.000 3.892 0.000
0.000 0.000 7.508
K Sb Zn
1 2 1
direct
0.500 0.500 0.750 K
0.000 0.000 0.064 Sb
0.000 0.000 0.436 Sb
0.500 0.500 0.250 Zn
```



No. 2
K2CuNi: relaxed, PBE.

Properties
Calculated formation energy (eV per atom): 0.80
Final energy (eV per cell): -8.890
Energy above the most stable polymorph in this dataset (eV/atom): 0.420

```
K2CuNi
1.0
-1.071 -2.527 4.834
-5.215 -1.422 1.297
-1.486 -5.356 0.067
Ni K Cu
1 2 1
direct
0.000 0.000 0.000 Ni
0.250 0.250 0.250 K
0.750 0.750 0.750 K
0.500 0.500 0.500 Cu
```



No. 3
CaAc6La4: relaxed, PBE.

Properties
Calculated formation energy (eV per atom): 0.13
Final energy (eV per cell): -44.949
Energy above the most stable polymorph in this dataset (eV/atom): 0.000

```
CaAc6La4
1.0
3.881 0.000 0.000
0.000 10.180 -5.878
0.000 0.000 11.755
Ca Ac La
1 6 4
direct
0.000 0.000 0.000 Ca
0.000 0.536 0.073 Ac
0.500 0.627 0.814 Ac
0.000 0.536 0.464 Ac
0.000 0.927 0.464 Ac
0.500 0.186 0.814 Ac
0.500 0.186 0.373 Ac
0.500 0.842 0.685 La
0.500 0.315 0.158 La
0.500 0.842 0.158 La
0.000 0.333 0.667 La
```